# Nd2Zn3Ge

Nd2Zn3Ge after structural relaxation (PBE-GGA, Alexandria).

Results
The value obtained for the energy above the most stable polymorph in this dataset is 0.000 eV/atom. The size of the total moment comes out at 0.0 μB per formula unit. The value obtained for the total energy is -3.513 eV per atom. The value obtained for the formation energy is -0.52 eV/atom.

Cell lengths 8.9015, 8.5996, 5.8735 Å; angles 73.19, 67.64, 39.17 degrees
Closest atoms and distances in Å follow each position.
Element x y z (fractional)
Nd1 0.2455 0.7545 0.7545  10 Zn 3.17-3.21, 2 Ge 3.21
Nd2 0.2500 0.2500 0.2500  8 Zn 3.21, 4 Ge 3.21
Nd3 0.7500 0.7500 0.7500  8 Zn 3.21, 4 Ge 3.21
Nd4 0.7545 0.2455 0.2455  10 Zn 3.17-3.21, 2 Ge 3.21
Zn1 0.1662 0.1662 0.8338  2 Zn 2.58, 1 Ge 2.58
Zn2 0.1685 0.6666 0.3334  2 Zn 2.54-2.58, 1 Ge 2.57
Zn3 0.3334 0.8315 0.1685  2 Zn 2.54-2.58, 1 Ge 2.57
Zn4 0.6666 0.1685 0.8315  2 Zn 2.54-2.58, 1 Ge 2.57
Zn5 0.8315 0.3334 0.6666  2 Zn 2.54-2.58, 1 Ge 2.57
Zn6 0.8338 0.8338 0.1662  2 Zn 2.58, 1 Ge 2.58
Ge1 0.3339 0.3339 0.6661  3 Zn 2.57-2.58
Ge2 0.6661 0.6661 0.3339  3 Zn 2.57-2.58

=====

# La3TlTe4

La3TlTe4 after structural relaxation (PBE-GGA, Alexandria).

Results
The size of the total moment comes out at 0.0 μB per formula unit. The value obtained for the total energy is -5.068 eV per atom. Its formation energy without anion corrections is -1.354 eV per atom.

Cell lengths 6.5380, 6.5380, 6.5380 Å; angles 90.00, 90.00, 90.00 degrees
Closest atoms and distances in Å follow each position.
Element x y z (fractional)
La1 0.0000 0.0000 0.5000  6 Te 3.27
La2 0.0000 0.5000 0.0000  6 Te 3.27
La3 0.5000 0.0000 0.0000  6 Te 3.27
Tl1 0.5000 0.5000 0.5000  6 Te 3.27
Te1 0.0000 0.0000 0.0000  6 La 3.27
Te2 0.0000 0.5000 0.5000  2 Tl 3.27, 4 La 3.27
Te3 0.5000 0.0000 0.5000  2 Tl 3.27, 4 La 3.27
Te4 0.5000 0.5000 0.0000  2 Tl 3.27, 4 La 3.27

=====

Repeat the second record exactly.
# La3TlTe4

La3TlTe4 after structural relaxation (PBE-GGA, Alexandria).

Results
The size of the total moment comes out at 0.0 μB per formula unit. The value obtained for the total energy is -5.068 eV per atom. Its formation energy without anion corrections is -1.354 eV per atom.

Cell lengths 6.5380, 6.5380, 6.5380 Å; angles 90.00, 90.00, 90.00 degrees
Closest atoms and distances in Å follow each position.
Element x y z (fractional)
La1 0.0000 0.0000 0.5000  6 Te 3.27
La2 0.0000 0.5000 0.0000  6 Te 3.27
La3 0.5000 0.0000 0.0000  6 Te 3.27
Tl1 0.5000 0.5000 0.5000  6 Te 3.27
Te1 0.0000 0.0000 0.0000  6 La 3.27
Te2 0.0000 0.5000 0.5000  2 Tl 3.27, 4 La 3.27
Te3 0.5000 0.0000 0.5000  2 Tl 3.27, 4 La 3.27
Te4 0.5000 0.5000 0.0000  2 Tl 3.27, 4 La 3.27